(1)
First-principles (GGA-PBE) data for crystalline Tb3SnO6 at its relaxed geometry, as listed in the Alexandria database.

Output
Theoretical density in Mg/m³: 7.4
Symmetry: No. 148
E_tot in eV for the cell shown: -155.379
Magnetization in μB per formula unit: 0.000

Cell: 6.780 6.780 6.780 Å, 92.85 92.85 92.85°
Fractional coordinates of all 20 atoms:
Tb 0.060 0.569 0.753
Tb 0.247 0.940 0.431
Tb 0.431 0.247 0.940
Tb 0.569 0.753 0.060
Tb 0.753 0.060 0.569
Tb 0.940 0.431 0.247
Sn 0.000 0.000 0.000
Sn 0.500 0.500 0.500
O 0.032 0.911 0.701
O 0.089 0.299 0.968
O 0.164 0.615 0.436
O 0.299 0.968 0.089
O 0.385 0.564 0.836
O 0.436 0.164 0.615
O 0.564 0.836 0.385
O 0.615 0.436 0.164
O 0.701 0.032 0.911
O 0.836 0.385 0.564
O 0.911 0.701 0.032
O 0.968 0.089 0.299

(2)
First-principles (GGA-PBE) data for crystalline Pa2OsPt at its relaxed geometry, as listed in the Alexandria database.

Output
Theoretical density in Mg/m³: 16.8
Symmetry: No. 123
ΔE_f in eV per atom: -0.482
Energy relative to the lowest polymorph listed for this composition in meV/atom: 129
Magnetization in μB per formula unit: 0.002

Cell: 3.413 3.413 7.210 Å, 90.00 90.00 90.00°
Fractional coordinates of all 4 atoms:
Pa 0.000 0.000 0.238
Pa 0.000 0.000 0.762
Os 0.500 0.500 0.000
Pt 0.500 0.500 0.500

(3)
First-principles (GGA-PBE) data for crystalline Li2Cd9Sn at its relaxed geometry, as listed in the Alexandria database.

Output
Theoretical density in Mg/m³: 7.2
Symmetry: No. 123
ΔE_f in eV per atom: -0.086
Magnetization in μB per formula unit: 0.000

Cell: 4.379 4.379 13.711 Å, 90.00 90.00 90.00°
Fractional coordinates of all 12 atoms:
Li 0.000 0.000 0.157
Li 0.000 0.000 0.843
Cd 0.000 0.500 0.000
Cd 0.000 0.500 0.317
Cd 0.000 0.500 0.683
Cd 0.500 0.000 0.000
Cd 0.500 0.000 0.317
Cd 0.500 0.000 0.683
Cd 0.500 0.500 0.160
Cd 0.500 0.500 0.500
Cd 0.500 0.500 0.840
Sn 0.000 0.000 0.500

- theoretical density of number 3 (Li2Cd9Sn)?
  7.2 Mg/m³

- theoretical density of number 2 (Pa2OsPt)?
  16.8 Mg/m³

- theoretical density of number 1 (Tb3SnO6)?
  7.4 Mg/m³

- Which of these has the lowest theoretical density?
  Li2Cd9Sn